Entry from Alexandria via LeMat-Bulk: InHgBi2 after structural relaxation (PBE-GGA).

Structure (CIF):
```
data_InHgBi2
_chemical_formula_sum 'In1 Hg1 Bi2'
_cell_length_a 4.0977
_cell_length_b 4.0977
_cell_length_c 6.9514
_cell_angle_alpha 90.00
_cell_angle_beta 90.00
_cell_angle_gamma 90.00
_space_group_name_H-M_alt 'P 1'
_space_group_IT_number 1
loop_
_space_group_symop_operation_xyz
'x,y,z'
loop_
_atom_site_label
_atom_site_fract_x
_atom_site_fract_y
_atom_site_fract_z
Hg1 0.5000 0.5000 0.5000
In1 0.5000 0.5000 0.0000
Bi1 0.0000 0.0000 0.2380
Bi2 0.0000 0.0000 0.7620
```

Summary:
The total magnetization comes out at 0.00 μB per atom. The symmetry is P4/mmm, No. 123.

=====

Entry from Alexandria via LeMat-Bulk: KIn4Hg2Bi after structural relaxation (PBE-GGA).

Structure (CIF):
```
data_KIn4Hg2Bi
_chemical_formula_sum 'K1 In4 Hg2 Bi1'
_cell_length_a 4.8638
_cell_length_b 4.8638
_cell_length_c 10.7911
_cell_angle_alpha 90.00
_cell_angle_beta 90.00
_cell_angle_gamma 90.00
_space_group_name_H-M_alt 'P 1'
_space_group_IT_number 1
loop_
_space_group_symop_operation_xyz
'x,y,z'
loop_
_atom_site_label
_atom_site_fract_x
_atom_site_fract_y
_atom_site_fract_z
In1 0.5000 0.0000 0.7995
Hg1 0.5000 0.5000 0.3672
In2 0.0000 0.5000 0.2005
In3 0.0000 0.5000 0.7995
Bi1 0.0000 0.0000 0.0000
K1 0.0000 0.0000 0.5000
In4 0.5000 0.0000 0.2005
Hg2 0.5000 0.5000 0.6328
```

Summary:
The total magnetization comes out at 0.00 μB per atom. The symmetry is P4/mmm, No. 123.

=====

Entry from Alexandria via LeMat-Bulk: KIn2Hg5Bi after structural relaxation (PBE-GGA).

Structure (CIF):
```
data_KIn2Hg5Bi
_chemical_formula_sum 'K1 In2 Hg5 Bi1'
_cell_length_a 4.8806
_cell_length_b 4.8806
_cell_length_c 13.3364
_cell_angle_alpha 90.00
_cell_angle_beta 90.00
_cell_angle_gamma 90.00
_space_group_name_H-M_alt 'P 1'
_space_group_IT_number 1
loop_
_space_group_symop_operation_xyz
'x,y,z'
loop_
_atom_site_label
_atom_site_fract_x
_atom_site_fract_y
_atom_site_fract_z
Hg1 0.5000 0.0000 0.1565
In1 0.0000 0.0000 0.7156
K1 0.5000 0.5000 0.5000
Hg2 0.0000 0.0000 0.5000
Hg3 0.0000 0.5000 0.8435
Hg4 0.5000 0.0000 0.8435
Hg5 0.0000 0.5000 0.1565
In2 0.0000 0.0000 0.2844
Bi1 0.0000 0.0000 0.0000
```

Summary:
The total magnetization comes out at 0.00 μB per atom. The symmetry is P4/mmm, No. 123.

=====

Entry from Alexandria via LeMat-Bulk: KIn2Hg2Bi after structural relaxation (PBE-GGA).

Structure (CIF):
```
data_KIn2Hg2Bi
_chemical_formula_sum 'K1 In2 Hg2 Bi1'
_cell_length_a 5.2411
_cell_length_b 5.2411
_cell_length_c 7.9965
_cell_angle_alpha 90.00
_cell_angle_beta 90.00
_cell_angle_gamma 120.00
_space_group_name_H-M_alt 'P 1'
_space_group_IT_number 1
loop_
_space_group_symop_operation_xyz
'x,y,z'
loop_
_atom_site_label
_atom_site_fract_x
_atom_site_fract_y
_atom_site_fract_z
K1 0.0000 0.0000 0.0000
Hg1 0.3333 0.6667 0.7726
Hg2 0.6667 0.3333 0.2274
Bi1 0.0000 0.0000 0.5000
In1 0.6667 0.3333 0.6718
In2 0.3333 0.6667 0.3282
```

Summary:
The total magnetization comes out at 0.00 μB per atom. The symmetry is P-3m1, No. 164.

=====

no.,energy of formation (eV per formula unit)
1,0.3
2,-0.5
3,0.2
4,-0.9